An optimized crystal structure of KSnI2N. Source: the Alexandria database, functional GGA-PBE.

Unit cell a=6.412 b=6.412 c=4.951 alpha=90.00 beta=90.00 gamma=90.00
Fractional positions:
I 0.000 0.500 0.000
I 0.500 0.000 0.000
K 0.000 0.000 0.000
Sn 0.500 0.500 0.500
N 0.000 0.000 0.500

E_form (uncorrected)   0.75 eV per atom
E   -12.78 eV for the cell shown
Density of states at the Fermi level   2.84 states/eV per cell
Symmetry   P4/mmm
Energy relative to the lowest polymorph listed for this composition   863 meV/atom
Crystal system   tetragonal
Magnetic moment   2.08 μB/f.u.

=====

An optimized crystal structure of Nb2InAu. Source: the Alexandria database, functional GGA-PBE.

Unit cell a=7.644 b=7.644 c=6.086 alpha=51.10 beta=51.10 gamma=90.00
Fractional positions:
Nb 0.637 0.125 0.250
Nb 0.113 0.625 0.250
Nb 0.375 0.363 0.750
Nb 0.875 0.887 0.750
Au 0.000 0.000 0.000
Au 0.750 0.250 0.500
In 0.500 0.500 0.000
In 0.250 0.750 0.500

E   -49.30 eV for the cell shown
Density of states at the Fermi level   3.37 states/eV per cell
Symmetry   I-42d
DFT formation energy   1.506 eV per formula unit
Crystal system   tetragonal
Magnetic moment   0.00 μB/f.u.

=====

An optimized crystal structure of KInF. Source: the Alexandria database, functional GGA-PBE.

Unit cell a=5.267 b=3.466 c=9.637 alpha=100.36 beta=105.86 gamma=90.00
Fractional positions:
K 0.685 0.185 0.370
K 0.315 0.815 0.630
In 0.751 0.500 0.000
In 0.249 0.500 0.000
F 0.180 0.680 0.360
F 0.820 0.320 0.640

E_form (uncorrected)   -1.33 eV per atom
E   -19.37 eV for the cell shown
Density of states at the Fermi level   0.74 states/eV per cell
Symmetry   Immm
Crystal system   orthorhombic
Magnetic moment   0.00 μB/f.u.